# CsSrCrO4 (GGA+U, optimized geometry)
data_CsSrCrO4
_chemical_formula_sum 'Cs2 Sr2 Cr2 O8'
_cell_length_a 6.157
_cell_length_b 6.111
_cell_length_c 8.026
_cell_angle_alpha 90.00
_cell_angle_beta 106.14
_cell_angle_gamma 90.00
_space_group_name_H-M_alt 'P 1 21/m 1'
_space_group_IT_number 11
loop_
_space_group_symop_operation_xyz
'x,y,z'
'-x,-y,-z'
'-x,y+1/2,-z'
'x,-y+1/2,z'
loop_
_atom_site_label
_atom_site_fract_x
_atom_site_fract_y
_atom_site_fract_z
Cs1 0.218 0.250 0.430
Sr1 0.284 0.250 0.950
Cr1 0.254 0.750 0.158
O1 0.086 0.750 0.950
O2 0.095 0.750 0.304
O3 0.436 0.526 0.183
# Calculated volume: 20.723 Å³/atom
# Calculated total energy: -6.273 eV per atom